(1)
Computed, not measured: a relaxed GaBi2As crystal at the GGA-PBE level of DFT.

Properties
- Total moment: 0.0000 μB/atom
- E_tot: -3.6470 eV per atom
- Volume: 289.5 Å³ per cell
- DFT formation energy: 213 meV/atom
- Space group: No. 122

abc: 8.303 8.303 8.303
angles: 134.20 134.20 66.78
Sites, in units of the cell vectors:
Ga: 0.000 0.000 0.000
Ga: 0.750 0.250 0.500
Bi: 0.119 0.625 0.994
Bi: 0.375 0.369 0.494
Bi: 0.631 0.125 0.006
Bi: 0.875 0.881 0.506
As: 0.250 0.750 0.500
As: 0.500 0.500 0.000



(2)
Computed, not measured: a relaxed GaBi2As2 crystal at the GGA-PBE level of DFT.

Properties
- Total moment: 0.0000 μB/atom
- E_tot: -3.7767 eV per atom
- Volume: 154.3 Å³ per cell
- DFT formation energy: 241 meV/atom
- Space group: No. 139

abc: 6.413 6.413 6.413
angles: 129.20 129.20 74.70
Sites, in units of the cell vectors:
Ga: 0.000 0.000 0.000
Bi: 0.344 0.344 0.000
Bi: 0.656 0.656 0.000
As: 0.250 0.750 0.500
As: 0.750 0.250 0.500



(3)
Computed, not measured: a relaxed GaBi2As2 crystal at the GGA-PBE level of DFT.

Properties
- Total moment: 0.0000 μB/atom
- E_tot: -3.8574 eV per atom
- Volume: 257.8 Å³ per cell
- DFT formation energy: 160 meV/atom
- Space group: No. 127

abc: 7.978 7.978 4.051
angles: 90.00 90.00 90.00
Sites, in units of the cell vectors:
Ga: 0.000 0.000 0.000
Ga: 0.500 0.500 0.000
Bi: 0.153 0.347 0.500
Bi: 0.347 0.847 0.500
Bi: 0.653 0.153 0.500
Bi: 0.847 0.653 0.500
As: 0.159 0.659 0.000
As: 0.341 0.159 0.000
As: 0.659 0.841 0.000
As: 0.841 0.341 0.000